Material: Hg6Se5
Method: DFT, GGA-PBE
State: relaxed

magnetization: 0.00 μB/f.u.
density of states at the Fermi level: 0.18 states/eV per atom
ΔE_f (raw): -3.0 kJ per mole of atoms
space-group type: C2/m (12)
crystal system: monoclinic

POSCAR file:
```
Hg6Se5
1.0
3.581 -6.236 0.000
3.581 6.236 0.000
-2.326 0.000 6.640
Hg Se
6 5
direct
0.064 0.411 0.236 Hg
0.238 0.238 0.750 Hg
0.411 0.064 0.236 Hg
0.589 0.936 0.764 Hg
0.762 0.762 0.250 Hg
0.936 0.589 0.764 Hg
0.000 0.000 0.000 Se
0.166 0.834 0.500 Se
0.347 0.653 0.000 Se
0.653 0.347 0.000 Se
0.834 0.166 0.500 Se
```


Material: HgSe3
Method: DFT, GGA-PBE
State: relaxed

magnetization: 0.00 μB/f.u.
density of states at the Fermi level: 0.89 states/eV per atom
ΔE_f (raw): 44.8 kJ per mole of atoms
space-group type: P4/mmm (123)
crystal system: tetragonal

POSCAR file:
```
HgSe3
1.0
4.993 0.000 0.000
0.000 4.993 0.000
0.000 0.000 3.525
Hg Se
1 3
direct
0.000 0.000 0.000 Hg
0.000 0.500 0.500 Se
0.500 0.000 0.500 Se
0.500 0.500 0.000 Se
```


Look up the magnetization of the first one. 0.00 μB/f.u.